1.
The following is a DFT calculation (PBE) of a relaxed KPb2Cl crystal.

Properties
ΔE_f (raw) in kJ per mole of atoms: -65.2
Crystal system: monoclinic
Offset from the most stable computed form in eV per atom: 0.031

Unit cell a=8.754 b=8.754 c=4.753 alpha=74.34 beta=74.34 gamma=24.22
Fractional coordinates of all 4 atoms:
Pb  0.040  0.040  0.960
Pb  0.460  0.460  0.540
K  0.250  0.250  0.250
Cl  0.750  0.750  0.750


2.
The following is a DFT calculation (PBE) of a relaxed Zr2TiTe5 crystal.

Properties
ΔE_f (raw) in kJ per mole of atoms: -65.6
Crystal system: orthorhombic

Unit cell a=5.621 b=7.404 c=13.259 alpha=90.00 beta=90.00 gamma=112.31
Fractional coordinates of all 16 atoms:
Zr  0.827  0.653  0.460
Zr  0.827  0.653  0.040
Zr  0.173  0.347  0.540
Zr  0.173  0.347  0.960
Ti  0.813  0.625  0.750
Ti  0.187  0.375  0.250
Te  0.962  0.923  0.880
Te  0.962  0.923  0.620
Te  0.339  0.678  0.407
Te  0.339  0.678  0.093
Te  0.742  0.484  0.250
Te  0.258  0.516  0.750
Te  0.661  0.322  0.593
Te  0.661  0.322  0.907
Te  0.038  0.077  0.120
Te  0.038  0.077  0.380


3.
The following is a DFT calculation (PBE) of a relaxed Pa2ZnRu4 crystal.

Properties
ΔH_f (0 K) in eV per formula unit: -2.7
Crystal system: orthorhombic

Unit cell a=4.046 b=5.581 c=5.581 alpha=95.21 beta=90.00 gamma=90.00
Fractional coordinates of all 7 atoms:
Pa  0.000  0.788  0.212
Pa  0.000  0.212  0.788
Zn  0.500  0.500  0.500
Ru  0.000  0.733  0.733
Ru  0.000  0.267  0.267
Ru  0.500  0.000  0.500
Ru  0.500  0.500  0.000


4.
The following is a DFT calculation (PBE) of a relaxed KCo2PdBr8 crystal.

Properties
ΔE_f (raw) in kJ per mole of atoms: -49.0
Crystal system: trigonal

Unit cell a=6.587 b=6.587 c=10.594 alpha=71.89 beta=71.89 gamma=60.00
Fractional coordinates of all 12 atoms:
K  0.500  0.500  0.500
Co  0.257  0.257  0.229
Co  0.743  0.743  0.771
Pd  0.000  0.000  0.000
Br  0.179  0.179  0.464
Br  0.628  0.269  0.158
Br  0.821  0.821  0.536
Br  0.945  0.628  0.158
Br  0.055  0.372  0.842
Br  0.269  0.945  0.158
Br  0.731  0.055  0.842
Br  0.372  0.731  0.842


5.
The following is a DFT calculation (PBE) of a relaxed LiTlRe2 crystal.

Properties
ΔH_f (0 K) in eV per formula unit: 2.7
Crystal system: tetragonal
Offset from the most stable computed form in eV per atom: 0.394

Unit cell a=5.386 b=5.386 c=5.386 alpha=139.51 beta=139.51 gamma=58.60
Fractional coordinates of all 4 atoms:
Li  0.750  0.250  0.500
Re  0.000  0.000  0.000
Re  0.500  0.500  0.000
Tl  0.250  0.750  0.500


6.
The following is a DFT calculation (PBE) of a relaxed Ba3Cd8Sn3 crystal.

Properties
ΔH_f (0 K) in eV per formula unit: -5.0
Crystal system: monoclinic
Offset from the most stable computed form in eV per atom: 0.000

Unit cell a=5.034 b=9.567 c=9.511 alpha=70.33 beta=74.66 gamma=74.75
Fractional coordinates of all 14 atoms:
Ba  0.311  0.690  0.687
Ba  0.689  0.310  0.313
Ba  0.000  0.000  0.000
Cd  0.130  0.149  0.591
Cd  0.870  0.851  0.409
Cd  0.852  0.420  0.877
Cd  0.148  0.580  0.123
Cd  0.501  0.712  0.286
Cd  0.499  0.288  0.714
Cd  0.330  0.021  0.320
Cd  0.670  0.979  0.680
Sn  0.000  0.500  0.500
Sn  0.662  0.718  0.959
Sn  0.338  0.282  0.041


no.,VASP energy (eV per atom),N(E_F) (states/eV per cell)
1,-3.266,1.1
2,-5.767,8.1
3,-8.578,5.9
4,-3.331,8.3
5,-6.629,3.6
6,-2.152,5.8